i) 5
Lattice="4.387 0.000 0.000 0.000 4.387 0.000 0.000 0.000 4.387" Properties=species:S:1:pos:R:3 comment="BeAg3Pd | Alexandria | PBE-GGA | optimized geometry" dos_ef_per_ev_fu=2.219 space_group="Pm-3m, No. 221" pbc="T T T"
Be 0.000 0.000 0.000
Ag 0.000 0.000 2.193
Ag 0.000 2.193 0.000
Ag 2.193 0.000 0.000
Pd 2.193 2.193 2.193

ii) 5
Lattice="5.042 0.000 0.000 0.000 5.042 0.000 0.000 0.000 5.042" Properties=species:S:1:pos:R:3 comment="BeAg3Pd | Alexandria | PBE-GGA | optimized geometry" dos_ef_per_ev_fu=2.430 space_group="Pm-3m, No. 221" pbc="T T T"
Be 0.000 0.000 0.000
Ag 0.000 2.521 2.521
Ag 2.521 0.000 2.521
Ag 2.521 2.521 0.000
Pd 2.521 2.521 2.521

Most stable structure, least stable structure: i), ii).

i) 4
Lattice="0.000 2.893 2.893 2.893 0.000 2.893 2.893 2.893 0.000" Properties=species:S:1:pos:R:3 comment="Be2AgPd | Alexandria | PBE-GGA | optimized geometry" dos_ef_per_ev_fu=1.324 space_group="Fm-3m, No. 225" pbc="T T T"
Be 1.446 1.446 1.446
Be 4.339 4.339 4.339
Ag 0.000 0.000 0.000
Pd 2.893 2.893 2.893

ii) 8
Lattice="-3.127 3.127 2.705 3.127 -3.127 2.705 3.127 3.127 -2.705" Properties=species:S:1:pos:R:3 comment="Be2AgPd | Alexandria | PBE-GGA | optimized geometry" dos_ef_per_ev_fu=1.017 space_group="I-42d, No. 122" pbc="T T T"
Be 4.691 1.472 -0.676
Be 1.472 1.564 0.676
Be -1.564 1.656 2.029
Be 1.656 1.564 3.381
Ag 3.127 0.000 1.353
Ag 0.000 0.000 2.705
Pd 0.000 0.000 0.000
Pd 0.000 3.127 1.353

iii) 4
Lattice="2.860 0.000 0.000 0.000 2.860 0.000 0.000 0.000 5.984" Properties=species:S:1:pos:R:3 comment="Be2AgPd | Alexandria | PBE-GGA | optimized geometry" dos_ef_per_ev_fu=1.352 space_group="P4/mmm, No. 123" pbc="T T T"
Be 0.000 0.000 1.317
Be 0.000 0.000 4.666
Ag 1.430 1.430 2.992
Pd 1.430 1.430 0.000

Most stable structure, least stable structure: iii), ii).

i) 4
Lattice="3.655 0.000 0.000 0.000 3.655 0.000 0.000 0.000 7.416" Properties=species:S:1:pos:R:3 comment="Pr2BeAg | Alexandria | PBE-GGA | optimized geometry" dos_ef_per_ev_fu=3.149 space_group="P4/mmm, No. 123" pbc="T T T"
Pr 0.000 0.000 1.689
Pr 0.000 0.000 5.726
Be 1.827 1.827 0.000
Ag 1.827 1.827 3.708

ii) 4
Lattice="0.000 3.699 3.699 3.699 0.000 3.699 3.699 3.699 0.000" Properties=species:S:1:pos:R:3 comment="Pr2BeAg | Alexandria | PBE-GGA | optimized geometry" dos_ef_per_ev_fu=4.192 space_group="Fm-3m, No. 225" pbc="T T T"
Pr 1.850 1.850 1.850
Pr 5.549 5.549 5.549
Be 0.000 0.000 0.000
Ag 3.699 3.699 3.699

Most stable structure, least stable structure: i), ii).

i) 8
Lattice="-1.961 1.961 7.686 1.961 -1.961 7.686 1.961 1.961 -7.686" Properties=species:S:1:pos:R:3 comment="Be2AgPt | Alexandria | PBE-GGA | optimized geometry" dos_ef_per_ev_fu=1.525 space_group="I-42d, No. 122" pbc="T T T"
Be 2.942 0.605 -1.922
Be 0.605 0.981 1.922
Be -0.981 1.356 5.765
Be 1.356 0.981 9.608
Ag 1.961 0.000 3.843
Ag 0.000 0.000 7.686
Pt 0.000 0.000 0.000
Pt 0.000 1.961 3.843

ii) 4
Lattice="1.412 0.815 7.545 -1.412 0.815 7.545 0.000 -1.630 7.545" Properties=species:S:1:pos:R:3 comment="Be2AgPt | Alexandria | PBE-GGA | optimized geometry" dos_ef_per_ev_fu=1.240 space_group="R-3m, No. 166" pbc="T T T"
Be 0.000 0.000 5.528
Be 0.000 0.000 17.108
Ag 0.000 0.000 0.000
Pt 0.000 0.000 11.318

Most stable structure, least stable structure: ii), i).

i) 4
Lattice="3.849 0.000 0.000 0.000 1.403 4.520 0.000 -1.403 4.520" Properties=species:S:1:pos:R:3 comment="Be2AgPt | Alexandria | PBE-GGA | optimized geometry" dos_ef_per_ev_fu=0.762 space_group="Amm2, No. 38" pbc="T T T"
Be 0.000 0.000 0.000
Be 1.925 0.000 1.347
Ag 1.925 0.000 3.768
Pt 0.000 0.000 6.476

ii) 4
Lattice="2.855 0.000 0.000 0.000 2.855 0.000 0.000 0.000 6.066" Properties=species:S:1:pos:R:3 comment="Be2AgPt | Alexandria | PBE-GGA | optimized geometry" dos_ef_per_ev_fu=1.279 space_group="P4/mmm, No. 123" pbc="T T T"
Be 0.000 0.000 1.348
Be 0.000 0.000 4.718
Ag 1.428 1.428 3.033
Pt 1.428 1.428 0.000

iii) 4
Lattice="4.409 -1.391 0.000 4.409 1.391 0.000 -1.141 0.000 4.026" Properties=species:S:1:pos:R:3 comment="Be2AgPt | Alexandria | PBE-GGA | optimized geometry" dos_ef_per_ev_fu=1.434 space_group="Cm, No. 8" pbc="T T T"
Be 0.000 0.000 0.000
Be 6.098 0.000 1.372
Ag 3.733 0.000 1.994
Pt 1.323 0.000 3.532

Most stable structure, least stable structure: ii), iii).

i) 4
Lattice="0.000 2.901 2.901 2.901 0.000 2.901 2.901 2.901 0.000" Properties=species:S:1:pos:R:3 comment="Be2AgPt | Alexandria | PBE-GGA | optimized geometry" dos_ef_per_ev_fu=1.342 space_group="Fm-3m, No. 225" pbc="T T T"
Be 1.451 1.451 1.451
Be 4.352 4.352 4.352
Ag 0.000 0.000 0.000
Pt 2.901 2.901 2.901

ii) 4
Lattice="-1.353 2.369 4.618 1.353 -2.369 4.618 1.353 2.369 -4.618" Properties=species:S:1:pos:R:3 comment="Be2AgPt | Alexandria | PBE-GGA | optimized geometry" dos_ef_per_ev_fu=1.594 space_group="Immm, No. 71" pbc="T T T"
Be 0.000 0.000 2.213
Be 0.000 0.000 7.023
Ag 0.000 0.000 4.618
Pt 0.000 0.000 0.000

iii) 4
Lattice="2.898 0.000 0.000 0.000 2.898 0.000 0.000 0.000 5.931" Properties=species:S:1:pos:R:3 comment="Be2AgPt | Alexandria | PBE-GGA | optimized geometry" dos_ef_per_ev_fu=0.949 space_group="P4mm, No. 99" pbc="T T T"
Be 0.000 0.000 0.000
Be 1.449 1.449 1.209
Ag 1.449 1.449 4.525
Pt 0.000 0.000 2.331

iv) 4
Lattice="0.000 2.985 2.985 2.985 0.000 2.985 2.985 2.985 0.000" Properties=species:S:1:pos:R:3 comment="Be2AgPt | Alexandria | PBE-GGA | optimized geometry" dos_ef_per_ev_fu=1.768 space_group="F-43m, No. 216" pbc="T T T"
Be 0.000 0.000 0.000
Be 1.493 1.493 1.493
Ag 2.985 2.985 2.985
Pt 4.478 4.478 4.478

Most stable structure, least stable structure: i), ii).